# 1
A plane-wave DFT calculation with PBE was carried out for crystalline CaLa3Nd3 at its relaxed geometry.

Lattice parameters (Å, degrees): 8.933 8.933 9.296 61.29 61.29 60.00
Positions (direct):
La (0.723, 0.071, 0.635)
La (0.929, 0.429, 0.365)
La (0.277, 0.929, 0.365)
La (0.071, 0.571, 0.635)
La (0.571, 0.723, 0.635)
La (0.429, 0.277, 0.365)
Nd (0.826, 0.286, 0.822)
Nd (0.067, 0.826, 0.822)
Nd (0.286, 0.067, 0.822)
Nd (0.174, 0.714, 0.178)
Nd (0.714, 0.933, 0.178)
Nd (0.933, 0.174, 0.178)
Ca (0.344, 0.344, 0.968)
Ca (0.656, 0.656, 0.032)

Calculated values
* Fermi-level density of states: 1.641 states/eV/atom
* uncorrected energy: -29.8 eV per formula unit
* V: 38.18 Å³ per atom
* M_tot: 0.00 μB/f.u.
* space group: R-3

---

# 2
A plane-wave DFT calculation with PBE was carried out for crystalline Cs3Mo5N12 at its relaxed geometry.

Lattice parameters (Å, degrees): 11.969 11.969 11.969 109.47 109.47 109.47
Last column: magnetic moment on the atom in μB.
Positions (direct):
Cs (0.250, 0.625, 0.875)  0.04
Cs (0.375, 0.750, 0.625)  0.04
Cs (0.750, 0.375, 0.125)  0.04
Cs (0.625, 0.250, 0.375)  0.04
Cs (0.875, 0.125, 0.250)  0.04
Cs (0.625, 0.375, 0.750)  0.04
Cs (0.125, 0.250, 0.875)  0.04
Cs (0.125, 0.875, 0.750)  0.04
Cs (0.250, 0.125, 0.375)  0.04
Cs (0.375, 0.625, 0.250)  0.04
Cs (0.875, 0.750, 0.125)  0.04
Cs (0.750, 0.875, 0.625)  0.04
Mo (0.500, 0.000, 0.000)  -0.32
Mo (0.125, 0.750, 0.375)  -0.19
Mo (0.875, 0.250, 0.625)  -0.19
Mo (0.750, 0.125, 0.875)  -0.19
Mo (0.000, 0.000, 0.000)  -0.32
Mo (0.625, 0.750, 0.875)  -0.19
Mo (0.000, 0.000, 0.500)  -0.32
Mo (0.500, 0.500, 0.500)  -0.32
Mo (0.000, 0.500, 0.500)  -0.32
Mo (0.625, 0.875, 0.250)  -0.19
Mo (0.500, 0.500, 0.000)  -0.32
Mo (0.125, 0.375, 0.250)  -0.19
Mo (0.375, 0.250, 0.125)  -0.19
Mo (0.500, 0.000, 0.500)  -0.32
Mo (0.250, 0.875, 0.125)  -0.19
Mo (0.250, 0.375, 0.625)  -0.19
Mo (0.375, 0.125, 0.750)  -0.19
Mo (0.000, 0.500, 0.000)  -0.32
Mo (0.750, 0.625, 0.375)  -0.19
Mo (0.875, 0.625, 0.750)  -0.19
N (0.907, 0.571, 0.884)  0.26
N (0.593, 0.977, 0.164)  0.26
N (0.523, 0.836, 0.907)  0.26
N (0.593, 0.616, 0.929)  0.26
N (0.477, 0.164, 0.093)  0.26
N (0.384, 0.407, 0.571)  0.26
N (0.616, 0.593, 0.429)  0.26
N (0.616, 0.023, 0.687)  0.26
N (0.813, 0.884, 0.977)  0.26
N (0.023, 0.407, 0.336)  0.26
N (0.164, 0.477, 0.593)  0.26
N (0.023, 0.616, 0.187)  0.26
N (0.929, 0.116, 0.593)  0.26
N (0.687, 0.523, 0.616)  0.26
N (0.884, 0.071, 0.907)  0.26
N (0.407, 0.023, 0.836)  0.26
N (0.116, 0.187, 0.523)  0.26
N (0.187, 0.071, 0.664)  0.26
N (0.407, 0.384, 0.071)  0.26
N (0.907, 0.336, 0.523)  0.26
N (0.116, 0.929, 0.093)  0.26
N (0.071, 0.884, 0.407)  0.26
N (0.336, 0.907, 0.023)  0.26
N (0.477, 0.313, 0.884)  0.26
N (0.664, 0.093, 0.977)  0.26
N (0.836, 0.313, 0.929)  0.26
N (0.093, 0.429, 0.116)  0.26
N (0.929, 0.813, 0.836)  0.26
N (0.523, 0.687, 0.116)  0.26
N (0.336, 0.429, 0.813)  0.26
N (0.164, 0.687, 0.071)  0.26
N (0.836, 0.523, 0.407)  0.26
N (0.571, 0.664, 0.687)  0.26
N (0.664, 0.571, 0.187)  0.26
N (0.687, 0.164, 0.571)  0.26
N (0.187, 0.116, 0.023)  0.26
N (0.313, 0.836, 0.429)  0.26
N (0.313, 0.477, 0.384)  0.26
N (0.429, 0.336, 0.313)  0.26
N (0.384, 0.977, 0.313)  0.26
N (0.571, 0.907, 0.384)  0.26
N (0.977, 0.593, 0.664)  0.26
N (0.884, 0.813, 0.477)  0.26
N (0.813, 0.929, 0.336)  0.26
N (0.093, 0.664, 0.477)  0.26
N (0.429, 0.093, 0.616)  0.26
N (0.071, 0.187, 0.164)  0.26
N (0.977, 0.384, 0.813)  0.26

Calculated values
* Fermi-level density of states: 0.413 states/eV/atom
* V: 16.50 Å³ per atom
* M_tot: 3.07 μB/f.u.
* space group: Ia-3d
* ΔE_f (raw): 430.4 kJ/mol of formula units

---

# 3
A plane-wave DFT calculation with PBE was carried out for crystalline BaMo2Ru at its relaxed geometry.

Lattice parameters (Å, degrees): 5.157 5.157 6.035 78.03 78.03 36.91
Positions (direct):
Mo (0.459, 0.459, 0.628)
Mo (0.041, 0.041, 0.872)
Ba (0.250, 0.250, 0.250)
Ru (0.750, 0.750, 0.750)

Calculated values
* Fermi-level density of states: 0.934 states/eV/atom
* V: 23.51 Å³ per atom
* M_tot: 0.00 μB/f.u.
* space group: C2/m
* energy above the lowest structure with this stoichiometry: 70.0 meV per atom

---

# 4
A plane-wave DFT calculation with PBE was carried out for crystalline VReMo4 at its relaxed geometry.

Lattice parameters (Å, degrees): 3.132 5.190 6.817 110.27 103.28 107.56
Positions (direct):
Re (0.498, 0.997, 0.502)
Mo (0.169, 0.004, 0.837)
Mo (0.662, 0.494, 0.333)
Mo (0.827, 0.990, 0.167)
Mo (0.334, 0.501, 0.671)
V (0.998, 0.497, 0.002)

Calculated values
* Fermi-level density of states: 0.600 states/eV/atom
* V: 15.32 Å³ per atom
* M_tot: 0.00 μB/f.u.
* space group: C2/m
* energy above the lowest structure with this stoichiometry: 0.0 meV per atom

---

# 5
A plane-wave DFT calculation with PBE was carried out for crystalline Ba2TaTl at its relaxed geometry.

Lattice parameters (Å, degrees): 12.000 12.000 12.000 17.13 17.13 17.13
Positions (direct):
Tl (0.750, 0.750, 0.750)
Ba (0.994, 0.994, 0.994)
Ba (0.506, 0.506, 0.506)
Ta (0.250, 0.250, 0.250)

Calculated values
* Fermi-level density of states: 1.024 states/eV/atom
* V: 32.68 Å³ per atom
* M_tot: 0.00 μB/f.u.
* space group: R-3m
* energy above the lowest structure with this stoichiometry: 198.3 meV per atom

---

# 6
A plane-wave DFT calculation with PBE was carried out for crystalline La6Tl2OsO at its relaxed geometry.

Lattice parameters (Å, degrees): 7.590 7.591 10.727 90.00 90.00 90.00
Positions (direct):
La (0.000, 0.750, 0.760)
La (0.259, 0.491, 0.500)
La (0.759, 0.991, 0.000)
La (0.241, 0.509, 0.000)
La (0.241, 0.991, 0.000)
La (0.759, 0.509, 0.000)
La (0.741, 0.009, 0.500)
La (0.500, 0.250, 0.740)
La (0.741, 0.491, 0.500)
La (0.500, 0.250, 0.260)
La (0.259, 0.009, 0.500)
La (0.000, 0.750, 0.240)
O (0.500, 0.250, 0.500)
O (0.000, 0.750, 0.000)
Tl (0.000, 0.250, 0.750)
Tl (0.000, 0.250, 0.250)
Tl (0.500, 0.750, 0.750)
Tl (0.500, 0.750, 0.250)
Os (0.000, 0.750, 0.500)
Os (0.500, 0.250, 0.000)

Calculated values
* Fermi-level density of states: 1.069 states/eV/atom
* V: 30.90 Å³ per atom
* M_tot: 0.00 μB/f.u.
* space group: I4/mmm
* ΔE_f (raw): -699.0 kJ/mol of formula units

---

# 7
A plane-wave DFT calculation with PBE was carried out for crystalline Pr6Ho12Tm at its relaxed geometry.

Lattice parameters (Å, degrees): 9.984 9.984 9.984 112.80 112.80 112.80
Positions (direct):
Ho (0.771, 0.092, 0.771)
Ho (0.092, 0.771, 0.771)
Ho (0.115, 0.500, 0.885)
Ho (0.771, 0.771, 0.092)
Ho (0.885, 0.500, 0.115)
Ho (0.115, 0.885, 0.500)
Ho (0.500, 0.115, 0.885)
Ho (0.229, 0.908, 0.229)
Ho (0.908, 0.229, 0.229)
Ho (0.229, 0.229, 0.908)
Ho (0.885, 0.115, 0.500)
Ho (0.500, 0.885, 0.115)
Pr (0.325, 0.325, 0.633)
Pr (0.675, 0.675, 0.367)
Pr (0.367, 0.675, 0.675)
Pr (0.633, 0.325, 0.325)
Pr (0.675, 0.367, 0.675)
Pr (0.325, 0.633, 0.325)
Tm (0.000, 0.000, 0.000)

Calculated values
* Fermi-level density of states: 1.398 states/eV/atom
* V: 34.47 Å³ per atom
* M_tot: 0.00 μB/f.u.
* space group: R-3m
* energy above the lowest structure with this stoichiometry: 204.0 meV per atom

---

# 8
A plane-wave DFT calculation with PBE was carried out for crystalline BaPPb2 at its relaxed geometry.

Lattice parameters (Å, degrees): 4.097 5.069 6.695 67.69 90.00 90.00
Positions (direct):
Pb (0.500, 0.205, 0.218)
Pb (0.000, 0.805, 0.017)
P (0.500, 0.974, 0.674)
Ba (0.000, 0.516, 0.591)

Calculated values
* Fermi-level density of states: 0.239 states/eV/atom
* uncorrected energy: -16.4 eV per formula unit
* V: 32.16 Å³ per atom
* M_tot: 0.00 μB/f.u.
* space group: Pm